Entry 1:
First-principles (GGA-PBE) data for a relaxed Ce2InHg3 crystal, as listed in the Alexandria database.

Energy above the lowest structure with this stoichiometry = 165 meV per atom
Magnetization = 3.047 μB per formula unit
E_form = -0.19 eV/atom

a b c (Å): 3.7302 4.8868 18.4934
angles (deg): 90.00 90.00 90.00
Last column: nearest neighbours and their distance in Å.
Space group Imm2 (No. 44)
Inequivalent atoms, fractional coordinates:
1 Ce 0.0000 0.0000 0.0000 [2 per cell]  6 Hg 3.34-3.49, 4 In 3.44, 2 Ce 3.73
2 Ce 0.0000 0.5000 0.2428 [2 per cell]  8 Hg 3.35-3.44, 2 In 3.48, 2 Ce 3.73
3 In 0.0000 0.0000 0.5840 [2 per cell]  3 Hg 2.81-2.87
4 Hg 0.0000 0.0000 0.4291 [2 per cell]  2 Hg 2.81, 1 In 2.87
5 Hg 0.0000 0.5000 0.6596 [2 per cell]  2 In 2.81, 1 Hg 2.88
6 Hg 0.0000 0.5000 0.8152 [2 per cell]  3 Hg 2.81-2.88

---

Entry 2:
First-principles (GGA-PBE) data for a relaxed ScSi2Pb crystal, as listed in the Alexandria database.

Magnetization = 0.000 μB per formula unit
Formation energy (no corrections) = 0.091 eV per atom

a b c (Å): 6.4012 7.6188 3.3848
angles (deg): 90.00 90.00 90.00
Last column: nearest neighbours and their distance in Å.
Space group Cmmm (No. 65)
Inequivalent atoms, fractional coordinates:
1 Sc 0.0000 0.0000 0.0000 [2 per cell]  8 Si 3.01, 2 Pb 3.20
2 Si 0.2500 0.2500 0.5000 [4 per cell]  4 Pb 3.01, 4 Sc 3.01, 2 Si 3.20
3 Pb 0.0000 0.5000 0.0000 [2 per cell]  8 Si 3.01, 2 Sc 3.20

---

Entry 3:
First-principles (GGA-PBE) data for a relaxed InHgMo crystal, as listed in the Alexandria database.

Energy above the lowest structure with this stoichiometry = 54 meV per atom
Magnetization = 0.008 μB per formula unit
E_form = 0.56 eV/atom

a b c (Å): 3.4066 4.9448 14.3429
angles (deg): 90.00 90.00 90.00
Last column: nearest neighbours and their distance in Å.
Space group Fmm2 (No. 42)
Inequivalent atoms, fractional coordinates:
1 In 0.0000 0.0000 0.0000 [4 per cell]  2 Mo 2.83, 4 In 3.00, 2 Hg 3.11
2 Hg 0.0000 0.0000 0.6810 [4 per cell]  2 Mo 2.88, 4 Hg 3.00, 2 In 3.11
3 Mo 0.0000 0.0000 0.3427 [4 per cell]  2 In 2.83, 2 Hg 2.88, 4 Mo 3.00

---

Entry 4:
First-principles (GGA-PBE) data for a relaxed NdZnCo2 crystal, as listed in the Alexandria database.

Magnetization = 2.281 μB per formula unit
E_form = -0.19 eV/atom

a b c (Å): 4.9819 3.9685 7.0311
angles (deg): 90.00 90.00 90.00
Last column: nearest neighbours and their distance in Å.
Space group Pmma (No. 51)
Inequivalent atoms, fractional coordinates:
1 Nd 0.2500 0.0000 0.1895 [2 per cell]  3 Co 2.75-2.97
2 Zn 0.2500 0.5000 0.8216 [2 per cell]  4 Co 2.58-2.61
3 Co 0.0000 0.5000 0.5000 [2 per cell]  6 Co 2.41-2.49, 2 Zn 2.58
4 Co 0.2500 0.0000 0.5808 [2 per cell]  4 Co 2.41, 2 Zn 2.61